No. 1
Material: TiPb2CS
Method: DFT, PBE
State: optimized geometry

**Uncorrected formation energy**: 724 meV/atom
**VASP energy**: -5.009 eV/atom
**Mass density**: 6.98 g cm⁻³
**SG**: P4/mmm (123)
**Crystal system**: tetragonal

```
TiPb2CS
1.0
5.551 0.000 0.000
0.000 5.551 0.000
0.000 0.000 3.908
Ti Pb C S
1 2 1 1
direct
0.000 0.000 0.000
0.000 0.500 0.000
0.500 0.000 0.000
0.000 0.000 0.500
0.500 0.500 0.500
```


No. 2
Material: Hf6ReOs5
Method: DFT, PBE
State: optimized geometry

**VASP energy**: -11.356 eV/atom
**Mass density**: 17.71 g cm⁻³
**Energy of formation from the pure elements**: -663 meV per atom
**SG**: Immm (71)
**Crystal system**: orthorhombic

```
Hf6ReOs5
1.0
-2.303 3.254 6.907
2.303 -3.254 6.907
2.303 3.254 -6.907
Hf Re Os
6 1 5
direct
0.083 0.334 0.750
0.249 0.000 0.249
0.416 0.666 0.750
0.584 0.334 0.250
0.751 0.000 0.751
0.917 0.666 0.250
0.000 0.500 0.500
0.167 0.167 0.000
0.333 0.833 0.500
0.500 0.500 0.000
0.667 0.167 0.500
0.833 0.833 0.000
```


No. 3
Material: TbScZnNi
Method: DFT, PBE
State: optimized geometry

**VASP energy**: -4.849 eV/atom
**Mass density**: 7.05 g cm⁻³
**Energy of formation from the pure elements**: -345 meV per atom
**SG**: F-43m (216)
**Crystal system**: cubic

```
TbScZnNi
1.0
0.000 3.380 3.380
3.380 0.000 3.380
3.380 3.380 0.000
Tb Sc Zn Ni
1 1 1 1
direct
0.000 0.000 0.000
0.500 0.500 0.500
0.750 0.750 0.750
0.250 0.250 0.250
```


No. 4
Material: Pr5SmRh4
Method: DFT, PBE
State: optimized geometry

**VASP energy**: -6.329 eV/atom
**Mass density**: 7.42 g cm⁻³
**Energy of formation from the pure elements**: -527 meV per atom
**SG**: C2/m (12)
**Crystal system**: monoclinic

```
Pr5SmRh4
1.0
9.402 -2.157 0.000
9.402 2.157 0.000
-3.094 0.000 6.985
Pr Sm Rh
5 1 4
direct
0.000 0.000 0.000
0.336 0.336 0.092
0.336 0.336 0.580
0.664 0.664 0.420
0.664 0.664 0.908
0.000 0.000 0.500
0.197 0.197 0.697
0.500 0.500 0.249
0.500 0.500 0.751
0.803 0.803 0.303
```


No. 5
Material: MgMn2Cu
Method: DFT, PBE
State: optimized geometry

**VASP energy**: -5.900 eV/atom
**Mass density**: 5.72 g cm⁻³
**Energy of formation from the pure elements**: 108 meV per atom
**SG**: P4mm (99)
**Crystal system**: tetragonal

```
MgMn2Cu
1.0
3.029 0.000 0.000
0.000 3.029 0.000
0.000 0.000 6.252
Mg Mn Cu
1 2 1
direct
0.000 0.000 0.000
0.000 0.000 0.495
0.500 0.500 0.310
0.500 0.500 0.731
```


No. 6
Material: Tm2Mo3Os
Method: DFT, PBE
State: optimized geometry

**VASP energy**: -8.897 eV/atom
**Mass density**: 11.88 g cm⁻³
**Energy of formation from the pure elements**: -120 meV per atom
**SG**: C2/m (12)
**Crystal system**: monoclinic

```
Tm2Mo3Os
1.0
4.702 -2.711 0.000
4.702 2.711 0.000
-3.139 0.000 4.472
Tm Mo Os
2 3 1
direct
0.126 0.126 0.379
0.874 0.874 0.621
0.000 0.500 0.000
0.500 0.000 0.000
0.500 0.500 0.000
0.500 0.500 0.500
```


No. 7
Material: YCoP2Os
Method: DFT, PBE
State: optimized geometry

**VASP energy**: -6.940 eV/atom
**Mass density**: 6.97 g cm⁻³
**Energy of formation from the pure elements**: 184 meV per atom
**SG**: P4/mmm (123)
**Crystal system**: tetragonal

```
YCoP2Os
1.0
4.583 0.000 0.000
0.000 4.583 0.000
0.000 0.000 4.540
Y Co P Os
1 1 2 1
direct
0.000 0.000 0.000
0.500 0.500 0.000
0.000 0.500 0.500
0.500 0.000 0.500
0.500 0.500 0.500
```


No. 8
Material: La2BeHg2
Method: DFT, PBE
State: optimized geometry

**VASP energy**: -2.958 eV/atom
**Mass density**: 8.83 g cm⁻³
**Energy of formation from the pure elements**: -121 meV per atom
**SG**: P4/mbm (127)
**Crystal system**: tetragonal

```
La2BeHg2
1.0
7.156 0.000 0.000
0.000 7.156 0.000
0.000 0.000 5.054
La Be Hg
4 2 4
direct
0.156 0.344 0.000
0.344 0.844 0.000
0.656 0.156 0.000
0.844 0.656 0.000
0.000 0.000 0.500
0.500 0.500 0.500
0.154 0.654 0.500
0.346 0.154 0.500
0.654 0.846 0.500
0.846 0.346 0.500
```